## NbFeCo2O6 (GGA+U)

Data for a relaxed structure of NbFeCo2O6.

Results
calculated total energy = -7.232 eV per atom
total moment = 1.10 μB per atom

a = 5.1998 Å, b = 5.2009 Å, c = 5.5815 Å
α = 62.19°, β = 62.23°, γ = 59.99°
Fractional positions:
Nb 0.3129 0.3131 0.0610
Fe 0.8127 0.8129 0.5616
Co 0.5213 0.5211 0.4363
Co 0.0275 0.0276 0.9175
O 0.5952 0.2115 0.2561
O 0.2116 0.9372 0.2559
O 0.9373 0.5949 0.2563
O 0.4345 0.7061 0.7568
O 0.7061 0.1025 0.7568
O 0.1025 0.4346 0.7569